No. 1
RbVPt3: relaxed, PBE-GGA.

Unit cell a=4.823 b=4.823 c=4.823 alpha=90.00 beta=90.00 gamma=90.00
Element x y z (fractional)
Rb: 0.000 0.000 0.000
V: 0.500 0.500 0.500
Pt: 0.000 0.500 0.500
Pt: 0.500 0.000 0.500
Pt: 0.500 0.500 0.000

M_tot: 0.033 μB per cell
DFT total energy: -5.203 eV/atom



No. 2
Rb2VPt: relaxed, PBE-GGA.

Unit cell a=9.360 b=9.360 c=9.360 alpha=93.87 beta=93.87 gamma=149.89
Element x y z (fractional)
Rb: 0.375 0.197 0.322
Rb: 0.803 0.125 0.178
Rb: 0.875 0.053 0.678
Rb: 0.947 0.625 0.822
V: 0.250 0.750 0.500
V: 0.500 0.500 0.000
Pt: 0.000 0.000 0.000
Pt: 0.750 0.250 0.500

M_tot: 8.241 μB per cell
DFT total energy: -3.737 eV/atom



No. 3
Rb2VPt: relaxed, PBE-GGA.

Unit cell a=5.673 b=5.673 c=5.673 alpha=60.00 beta=60.00 gamma=60.00
Element x y z (fractional)
Rb: 0.250 0.250 0.250
Rb: 0.750 0.750 0.750
V: 0.000 0.000 0.000
Pt: 0.500 0.500 0.500

M_tot: 4.914 μB per cell
DFT total energy: -3.185 eV/atom



No. 4
RbVPt2W: relaxed, PBE-GGA.

Unit cell a=4.900 b=4.900 c=5.406 alpha=90.00 beta=90.00 gamma=90.00
Element x y z (fractional)
Rb: 0.000 0.000 0.000
V: 0.500 0.500 0.000
Pt: 0.000 0.500 0.500
Pt: 0.500 0.000 0.500
W: 0.000 0.000 0.500

M_tot: 0.376 μB per cell
DFT total energy: -5.150 eV/atom